DFT (GGA-PBE) results for an optimized crystal structure of Na2InTe2.

Cell lengths 9.3280, 9.3280, 3.3790 Å; angles 90.00, 90.00, 90.00 degrees
With the nearest neighbours (Å) after each atom.
Positions (direct):
Na: 0.1290 0.3710 0.0000  6 Te 3.15-3.28, 3 Na 3.38-3.40
Na: 0.3710 0.8710 0.0000  6 Te 3.15-3.28, 3 Na 3.38-3.40
Na: 0.6290 0.1290 0.0000  6 Te 3.15-3.28, 3 Na 3.38-3.40
Na: 0.8710 0.6290 0.0000  6 Te 3.15-3.28, 3 Na 3.38-3.40
In: 0.0000 0.0000 0.5000  2 In 3.38, 4 Te 3.46
In: 0.5000 0.5000 0.5000  2 In 3.38, 4 Te 3.46
Te: 0.1695 0.6695 0.5000  6 Na 3.15-3.28, 2 Te 3.38, 2 In 3.46
Te: 0.3305 0.1695 0.5000  6 Na 3.15-3.28, 2 Te 3.38, 2 In 3.46
Te: 0.6695 0.8305 0.5000  6 Na 3.15-3.28, 2 Te 3.38, 2 In 3.46
Te: 0.8305 0.3305 0.5000  6 Na 3.15-3.28, 2 Te 3.38, 2 In 3.46

Summary:
Space group = P4/mbm, No. 127
ΔE to the lowest computed polymorph = 0.0969 eV/atom
ΔE_f (raw) = -543.6 meV per atom
ρ = 4.70 g/cm3

DFT (GGA-PBE) results for an optimized crystal structure of AsHSe2Cl.

Cell lengths 5.1963, 5.1963, 4.9656 Å; angles 90.00, 90.00, 90.00 degrees
With the nearest neighbours (Å) after each atom.
Positions (direct):
As: 0.0000 0.0000 0.0000  2 Cl 2.48
H: 0.5000 0.5000 0.0000  8 Se 3.59, 4 As 3.67
Se: 0.0000 0.5000 0.5000  2 Cl 2.60
Se: 0.5000 0.0000 0.5000  2 Cl 2.60
Cl: 0.0000 0.0000 0.5000  2 As 2.48, 4 Se 2.60

Summary:
Space group = P4/mmm, No. 123
ΔE to the lowest computed polymorph = 0.8854 eV/atom
ρ = 3.34 g/cm3

DFT (GGA-PBE) results for an optimized crystal structure of Pm2CdBPt6.

Cell lengths 5.7710, 5.7710, 6.5403 Å; angles 90.00, 90.00, 120.00 degrees
With the nearest neighbours (Å) after each atom.
Positions (direct):
Pm: 0.3333 0.6667 0.3378  6 Pt 3.06
Pm: 0.6667 0.3333 0.6622  6 Pt 3.06
Cd: 0.0000 0.0000 0.5000  6 Pt 2.73
B: 0.0000 0.0000 0.0000  6 Pt 2.15
Pt: 0.1783 0.3565 0.8165  1 B 2.15
Pt: 0.1783 0.8217 0.8165  1 B 2.15
Pt: 0.3565 0.1783 0.1835  1 B 2.15
Pt: 0.6435 0.8217 0.8165  1 B 2.15
Pt: 0.8217 0.1783 0.1835  1 B 2.15
Pt: 0.8217 0.6435 0.1835  1 B 2.15

Summary:
Space group = P-3m1, No. 164
ΔH_f (0 K) = -814.8 meV per atom
ρ = 13.94 g/cm3

DFT (GGA-PBE) results for an optimized crystal structure of MgSc3.

Cell lengths 6.1744, 6.1744, 5.3205 Å; angles 90.00, 90.00, 88.38 degrees
With the nearest neighbours (Å) after each atom.
Positions (direct):
Mg: 0.0842 0.9158 0.7500  3 Sc 2.90-3.15, 2 Mg 3.03
Mg: 0.9158 0.0842 0.2500  3 Sc 2.90-3.15, 2 Mg 3.03
Sc: 0.0752 0.5947 0.2500  4 Sc 2.92-3.26, 1 Mg 3.15
Sc: 0.4053 0.9248 0.2500  4 Sc 2.92-3.26, 1 Mg 3.15
Sc: 0.4217 0.5783 0.7500  1 Mg 2.90, 2 Sc 2.98
Sc: 0.5783 0.4217 0.2500  1 Mg 2.90, 2 Sc 2.98
Sc: 0.5947 0.0752 0.7500  4 Sc 2.92-3.26, 1 Mg 3.15
Sc: 0.9248 0.4053 0.7500  4 Sc 2.92-3.26, 1 Mg 3.15

Summary:
Space group = Cmcm, No. 63
ΔE to the lowest computed polymorph = 0.2546 eV/atom
ΔH_f (0 K) = 244.4 meV per atom
ρ = 2.61 g/cm3

DFT (GGA-PBE) results for an optimized crystal structure of Zr2ZnTe.

Cell lengths 4.9129, 4.9129, 4.9129 Å; angles 60.00, 60.00, 60.00 degrees
With the nearest neighbours (Å) after each atom.
Positions (direct):
Zr: 0.2500 0.2500 0.2500  4 Te 3.01, 4 Zn 3.01
Zr: 0.7500 0.7500 0.7500  4 Te 3.01, 4 Zn 3.01
Zn: 0.0000 0.0000 0.0000  8 Zr 3.01
Te: 0.5000 0.5000 0.5000  8 Zr 3.01

Summary:
Space group = Fm-3m, No. 225
ΔE to the lowest computed polymorph = 0.1730 eV/atom
ΔE_f (raw) = -269.3 meV per atom
ρ = 7.44 g/cm3

DFT (GGA-PBE) results for an optimized crystal structure of BaSc3Pb.

Cell lengths 5.3626, 5.3626, 5.3626 Å; angles 90.00, 90.00, 90.00 degrees
With the nearest neighbours (Å) after each atom.
Positions (direct):
Ba: 0.0000 0.0000 0.0000  6 Sc 2.68
Sc: 0.0000 0.0000 0.5000  2 Ba 2.68
Sc: 0.0000 0.5000 0.0000  2 Ba 2.68
Sc: 0.5000 0.0000 0.0000  2 Ba 2.68
Pb: 0.5000 0.5000 0.5000  12 Sc 3.79

Summary:
Space group = Pm-3m, No. 221
ΔE to the lowest computed polymorph = 0.7487 eV/atom
ΔH_f (0 K) = 1085.7 meV per atom
ρ = 5.16 g/cm3

DFT (GGA-PBE) results for an optimized crystal structure of Cr2ReP.

Cell lengths 2.9404, 2.9404, 5.6791 Å; angles 90.00, 90.00, 90.00 degrees
With the nearest neighbours (Å) after each atom.
Positions (direct):
Cr: 0.0000 0.0000 0.0000  4 Cr 2.41, 1 P 2.58, 4 Re 2.69
Cr: 0.5000 0.5000 0.2143  4 Cr 2.41, 4 P 2.49
Re: 0.5000 0.5000 0.6995  4 P 2.50, 5 Cr 2.69-2.76
P: 0.0000 0.0000 0.4551  5 Cr 2.49-2.58, 4 Re 2.50

Summary:
Space group = P4mm, No. 99
ΔH_f (0 K) = -82.2 meV per atom
ρ = 10.86 g/cm3

DFT (GGA-PBE) results for an optimized crystal structure of NaSn3O.

Cell lengths 4.9234, 4.9234, 4.9234 Å; angles 90.00, 90.00, 90.00 degrees
With the nearest neighbours (Å) after each atom.
Positions (direct):
Na: 0.0000 0.0000 0.0000  12 Sn 3.48
Sn: 0.0000 0.5000 0.5000  2 O 2.46
Sn: 0.5000 0.0000 0.5000  2 O 2.46
Sn: 0.5000 0.5000 0.0000  2 O 2.46
O: 0.5000 0.5000 0.5000  6 Sn 2.46

Summary:
Space group = Pm-3m, No. 221
ΔE to the lowest computed polymorph = 0.0000 eV/atom
ΔE_f (raw) = -291.0 meV per atom
ρ = 5.50 g/cm3